Here is a relaxed TbHo4Tm15 crystal from Alexandria via LeMat-Bulk. Energies are from PBE.

Cell: 4.9364 4.9364 24.6907 Å, 90.00 90.00 90.00°
Closest atoms and distances in Å follow each position.
Fractional positions:
1 Ho 0.0000 0.0000 0.5999  12 Tm 3.49
2 Ho 0.0000 0.0000 0.7997  12 Tm 3.49
3 Ho 0.0000 0.0000 0.4001  12 Tm 3.49
4 Ho 0.0000 0.0000 0.2003  12 Tm 3.49
5 Tm 0.5000 0.0000 0.3002  8 Tm 3.49, 4 Ho 3.49
6 Tm 0.5000 0.0000 0.6998  8 Tm 3.49, 4 Ho 3.49
7 Tm 0.0000 0.5000 0.8996  2 Ho 3.49, 8 Tm 3.49-3.50, 2 Tb 3.50
8 Tm 0.5000 0.5000 0.0000  4 Tb 3.49, 8 Tm 3.50
9 Tm 0.0000 0.5000 0.1004  2 Ho 3.49, 8 Tm 3.49-3.50, 2 Tb 3.50
10 Tm 0.0000 0.5000 0.5000  4 Ho 3.49, 8 Tm 3.49
11 Tm 0.0000 0.5000 0.3002  8 Tm 3.49, 4 Ho 3.49
12 Tm 0.5000 0.0000 0.5000  4 Ho 3.49, 8 Tm 3.49
13 Tm 0.5000 0.5000 0.2004  8 Tm 3.49, 4 Ho 3.49
14 Tm 0.5000 0.5000 0.7996  8 Tm 3.49, 4 Ho 3.49
15 Tm 0.5000 0.0000 0.1004  2 Ho 3.49, 8 Tm 3.49-3.50, 2 Tb 3.50
16 Tm 0.0000 0.5000 0.6998  8 Tm 3.49, 4 Ho 3.49
17 Tm 0.5000 0.5000 0.4001  8 Tm 3.49, 4 Ho 3.49
18 Tm 0.5000 0.5000 0.5999  8 Tm 3.49, 4 Ho 3.49
19 Tm 0.5000 0.0000 0.8996  2 Ho 3.49, 8 Tm 3.49-3.50, 2 Tb 3.50
20 Tb 0.0000 0.0000 0.0000  12 Tm 3.49-3.50

Computed properties:
spin magnetization: 0.00 μB/atom
energy relative to the elements: 0.510 eV/f.u.